No. 1
{
  "formula": "MgHgPt2",
  "functional": "PBE-GGA",
  "state": "relaxed",
  "cell": [[-2.084, 2.084, 3.923], [2.084, -2.084, 3.923], [2.084, 2.084, -3.923]],
  "species": ["Mg", "Hg", "Pt", "Pt"],
  "frac_coords": [[0.000, 0.000, 0.000], [0.500, 0.500, 0.000], [0.250, 0.750, 0.500], [0.750, 0.250, 0.500]],
  "dft_energy_ev_per_cell": -15.81,
  "n_ef_per_ev_atom": 0.22,
  "rho_g_cm3": 14.991
}

No. 2
{
  "formula": "KTcSn2Au",
  "functional": "PBE-GGA",
  "state": "relaxed",
  "cell": [[5.396, 0.000, 0.000], [0.000, 5.396, 0.000], [0.000, 0.000, 5.405]],
  "species": ["K", "Tc", "Sn", "Sn", "Au"],
  "frac_coords": [[0.000, 0.000, 0.000], [0.500, 0.500, 0.000], [0.000, 0.500, 0.500], [0.500, 0.000, 0.500], [0.500, 0.500, 0.500]],
  "dft_energy_ev_per_cell": -18.84,
  "n_ef_per_ev_atom": 0.58,
  "rho_g_cm3": 6.029
}

No. 3
{
  "formula": "Ac3TbIn3",
  "functional": "PBE-GGA",
  "state": "relaxed",
  "cell": [[4.350, -5.743, 0.000], [4.350, 5.743, 0.000], [-0.686, 0.000, 10.098]],
  "species": ["Ac", "Ac", "Ac", "Ac", "Ac", "Ac", "Tb", "Tb", "In", "In", "In", "In", "In", "In"],
  "frac_coords": [[0.179, 0.821, 0.000], [0.245, 0.755, 0.500], [0.397, 0.397, 0.183], [0.603, 0.603, 0.817], [0.755, 0.245, 0.500], [0.821, 0.179, 0.000], [0.265, 0.265, 0.541], [0.735, 0.735, 0.459], [0.014, 0.014, 0.276], [0.072, 0.459, 0.763], [0.459, 0.072, 0.763], [0.541, 0.928, 0.237], [0.928, 0.541, 0.237], [0.986, 0.986, 0.724]],
  "dft_energy_ev_per_cell": -53.99,
  "n_ef_per_ev_atom": 1.04,
  "rho_g_cm3": 7.797
}

No. 4
{
  "formula": "CaIr2Br",
  "functional": "PBE-GGA",
  "state": "relaxed",
  "cell": [[-1.869, 1.869, 6.044], [1.869, -1.869, 6.044], [1.869, 1.869, -6.044]],
  "species": ["Ca", "Ir", "Ir", "Br"],
  "frac_coords": [[0.000, 0.000, 0.000], [0.250, 0.750, 0.500], [0.750, 0.250, 0.500], [0.500, 0.500, 0.000]],
  "e_form_raw_mev_per_atom": 118,
  "dft_energy_ev_per_cell": -20.93,
  "n_ef_per_ev_atom": 0.94,
  "de_polymorph_ev_per_fu": 1.49,
  "rho_g_cm3": 9.923
}